[1]
Computed, not measured: a geometry-optimized TmSc2Zn structure at the PBE level of DFT.

Results
- size of the total moment (μB per atom) = 0.000
- crystal system = orthorhombic
- E_form (eV/atom) = -0.18
- electronic total energy (eV per atom) = -4.78
- space group = Immm (71)
- DOS at the Fermi energy (states/eV per cell) = 4.7
- E above lowest polymorph (eV/f.u.) = 0.00

Structure (CIF):
```
data_TmSc2Zn
_chemical_formula_sum 'Tm1 Sc2 Zn1'
_symmetry_space_group_name_H-M 'P 1'
_symmetry_Int_Tables_number 1
_symmetry_space_group_name_Hall 'P 1'
_cell_length_a 3.476
_cell_length_b 5.002
_cell_length_c 6.136
_cell_angle_alpha 114.04
_cell_angle_beta 106.45
_cell_angle_gamma 90.00
loop_
_atom_site_label
_atom_site_fract_x
_atom_site_fract_y
_atom_site_fract_z
Sc1 0.216 0.216 0.432
Sc2 0.784 0.784 0.568
Zn1 0.500 0.000 0.000
Tm1 0.000 0.500 0.000
```


[2]
Computed, not measured: a geometry-optimized Tm2Sc2Zn structure at the PBE level of DFT.

Results
- size of the total moment (μB per atom) = 0.001
- crystal system = tetragonal
- E_form (eV/atom) = 0.03
- electronic total energy (eV per atom) = -4.55
- space group = I4_1/amd (141)
- DOS at the Fermi energy (states/eV per cell) = 17.9

Structure (CIF):
```
data_Tm2Sc2Zn
_chemical_formula_sum 'Tm4 Sc4 Zn2'
_symmetry_space_group_name_H-M 'P 1'
_symmetry_Int_Tables_number 1
_symmetry_space_group_name_Hall 'P 1'
_cell_length_a 4.751
_cell_length_b 4.751
_cell_length_c 12.054
_cell_angle_alpha 101.37
_cell_angle_beta 101.37
_cell_angle_gamma 90.00
loop_
_atom_site_label
_atom_site_fract_x
_atom_site_fract_y
_atom_site_fract_z
Tm1 0.073 0.573 0.146
Tm2 0.677 0.677 0.354
Tm3 0.427 0.927 0.854
Tm4 0.323 0.323 0.646
Sc1 0.571 0.071 0.141
Sc2 0.929 0.429 0.859
Sc3 0.821 0.821 0.641
Sc4 0.179 0.179 0.359
Zn1 0.250 0.750 0.500
Zn2 0.500 0.500 0.000
```


[3]
Computed, not measured: a geometry-optimized TmScZn2 structure at the PBE level of DFT.

Results
- size of the total moment (μB per atom) = 0.000
- crystal system = tetragonal
- E_form (eV/atom) = -0.36
- electronic total energy (eV per atom) = -3.69
- space group = P4/mmm (123)
- DOS at the Fermi energy (states/eV per cell) = 3.5

Structure (CIF):
```
data_TmScZn2
_chemical_formula_sum 'Tm1 Sc1 Zn2'
_symmetry_space_group_name_H-M 'P 1'
_symmetry_Int_Tables_number 1
_symmetry_space_group_name_Hall 'P 1'
_cell_length_a 3.426
_cell_length_b 3.426
_cell_length_c 6.907
_cell_angle_alpha 90.00
_cell_angle_beta 90.00
_cell_angle_gamma 90.00
loop_
_atom_site_label
_atom_site_fract_x
_atom_site_fract_y
_atom_site_fract_z
Zn1 0.000 0.000 0.769
Zn2 0.000 0.000 0.231
Sc1 0.500 0.500 0.000
Tm1 0.500 0.500 0.500
```